Material: Li2Ti3CoO8
Method: DFT, SCAN
State: single point on PBEsol structure

a b c (Å): 8.307 8.307 8.307
angles (deg): 90.00 90.00 90.00
Each line ends with the local moment (μB).
Atoms (fractional coordinates):
Li 0.497 0.497 0.497  0.00
Li 0.503 0.997 0.003  0.00
Li 0.625 0.375 0.875  0.00
Li 0.875 0.625 0.375  0.00
Li 0.003 0.503 0.997  0.00
Li 0.997 0.003 0.503  0.00
Li 0.125 0.125 0.125  0.00
Li 0.375 0.875 0.625  0.00
Ti 0.636 0.619 0.128  0.03
Ti 0.619 0.128 0.636  0.03
Ti 0.628 0.864 0.381  0.03
Ti 0.881 0.872 0.136  0.03
Ti 0.872 0.136 0.881  0.03
Ti 0.864 0.381 0.628  0.03
Ti 0.128 0.636 0.619  0.03
Ti 0.136 0.881 0.872  0.03
Ti 0.119 0.372 0.364  0.03
Ti 0.381 0.628 0.864  0.03
Ti 0.372 0.364 0.119  0.03
Ti 0.364 0.119 0.372  0.03
Co 0.753 0.753 0.753  2.59
Co 0.747 0.247 0.253  2.59
Co 0.253 0.747 0.247  2.59
Co 0.247 0.253 0.747  2.59
O 0.628 0.888 0.612  0.05
O 0.640 0.860 0.140  0.00
O 0.640 0.360 0.625  0.00
O 0.612 0.388 0.128  0.05
O 0.612 0.628 0.888  0.05
O 0.625 0.640 0.360  0.00
O 0.640 0.125 0.860  0.00
O 0.613 0.113 0.387  0.05
O 0.888 0.612 0.628  0.05
O 0.860 0.640 0.125  0.00
O 0.887 0.887 0.887  0.05
O 0.860 0.875 0.360  0.00
O 0.860 0.140 0.640  0.00
O 0.872 0.112 0.112  0.05
O 0.875 0.360 0.860  0.00
O 0.888 0.372 0.388  0.05
O 0.140 0.640 0.860  0.00
O 0.125 0.860 0.640  0.00
O 0.112 0.872 0.112  0.05
O 0.112 0.112 0.872  0.05
O 0.113 0.387 0.613  0.05
O 0.140 0.375 0.140  0.00
O 0.128 0.612 0.388  0.05
O 0.140 0.140 0.375  0.00
O 0.360 0.625 0.640  0.00
O 0.387 0.613 0.113  0.05
O 0.360 0.860 0.875  0.00
O 0.388 0.128 0.612  0.05
O 0.375 0.140 0.140  0.00
O 0.372 0.388 0.888  0.05
O 0.388 0.888 0.372  0.05
O 0.360 0.360 0.360  0.00

Properties
ΔE to the lowest computed polymorph: 0.0 meV per atom
raw total energy: -639.7 eV per cell
space-group type: P2_13, No. 198
formation energy from raw total energies: -2.850 eV/atom
calculated volume: 573.2 Å³ per cell



Material: Li3TiCo3O8
Method: DFT, SCAN
State: single point on PBEsol structure

a b c (Å): 5.662 5.662 8.972
angles (deg): 90.00 90.00 120.00
Atoms (fractional coordinates):
Li 0.171 0.829 0.442
Li 0.171 0.343 0.442
Li 0.657 0.829 0.442
Li 0.343 0.171 0.942
Li 0.829 0.657 0.942
Li 0.829 0.171 0.942
Ti 0.333 0.667 0.003
Ti 0.667 0.333 0.503
Co 0.168 0.832 0.716
Co 0.168 0.336 0.716
Co 0.664 0.832 0.716
Co 0.336 0.168 0.216
Co 0.832 0.664 0.216
Co 0.832 0.168 0.216
O 0.161 0.839 0.097
O 0.036 0.518 0.838
O 0.161 0.322 0.097
O 0.482 0.964 0.838
O 0.333 0.667 0.607
O 0.482 0.518 0.838
O 0.322 0.161 0.597
O 0.678 0.839 0.097
O 0.518 0.482 0.338
O 0.518 0.036 0.338
O 0.000 0.000 0.319
O 0.667 0.333 0.107
O 0.839 0.678 0.597
O 0.964 0.482 0.338
O 0.839 0.161 0.597
O 0.000 0.000 0.819

Properties
ΔE to the lowest computed polymorph: 0.0 meV per atom
raw total energy: -313.2 eV per cell
space-group type: P6_3mc, No. 186
formation energy from raw total energies: -2.108 eV/atom
calculated volume: 249.1 Å³ per cell



Material: Li4Ti3V2Co3O16
Method: DFT, SCAN
State: single point on PBEsol structure

a b c (Å): 5.751 5.661 9.359
angles (deg): 89.75 90.03 120.51
Each line ends with the local moment (μB).
Atoms (fractional coordinates):
Li 0.333 0.668 0.110  0.00
Li 0.012 0.024 0.009  0.00
Li 0.008 0.016 0.505  0.00
Li 0.661 0.322 0.598  0.00
Ti 0.157 0.803 0.780  0.04
Ti 0.647 0.803 0.780  0.03
Ti 0.821 0.643 0.275  0.04
V 0.332 0.664 0.496  1.03
V 0.656 0.310 0.007  1.05
Co 0.177 0.354 0.790  0.84
Co 0.343 0.174 0.289  0.11
Co 0.830 0.174 0.289  0.12
O 0.176 0.841 0.404  -0.03
O 0.479 0.958 0.663  -0.01
O 0.339 0.677 0.905  -0.02
O 0.003 0.007 0.697  -0.02
O 0.006 0.011 0.198  -0.01
O 0.665 0.841 0.404  -0.03
O 0.033 0.515 0.649  0.00
O 0.482 0.515 0.649  0.00
O 0.830 0.660 0.906  0.00
O 0.175 0.350 0.397  -0.05
O 0.515 0.479 0.155  -0.01
O 0.963 0.479 0.155  -0.01
O 0.663 0.327 0.397  -0.01
O 0.344 0.169 0.908  -0.06
O 0.523 0.047 0.168  -0.04
O 0.825 0.169 0.908  -0.07

Properties
raw total energy: -313.6 eV per cell
space-group type: Cm, No. 8
formation energy from raw total energies: -2.478 eV/atom
calculated volume: 262.5 Å³ per cell



Material: Li4Ti4V4CoO18
Method: DFT, SCAN
State: single point on PBEsol structure

a b c (Å): 2.865 9.075 23.709
angles (deg): 90.00 90.00 90.00
Each line ends with the local moment (μB).
Atoms (fractional coordinates):
Li 0.000 0.203 0.490  0.00
Li 0.000 0.154 0.697  0.00
Li 0.000 0.346 0.197  0.00
Li 0.000 0.297 0.990  0.00
Li 0.000 0.703 0.010  0.00
Li 0.000 0.654 0.803  0.00
Li 0.000 0.846 0.303  0.00
Li 0.000 0.797 0.510  0.00
Ti 0.000 0.986 0.598  0.05
Ti 0.500 0.195 0.312  0.09
Ti 0.500 0.305 0.812  0.09
Ti 0.000 0.514 0.098  0.05
Ti 0.000 0.486 0.902  0.05
Ti 0.500 0.695 0.188  0.09
Ti 0.500 0.805 0.688  0.09
Ti 0.000 0.014 0.402  0.05
V 0.000 0.954 0.816  1.55
V 0.500 0.156 0.085  1.22
V 0.500 0.344 0.585  1.22
V 0.000 0.546 0.316  1.55
V 0.000 0.454 0.684  1.55
V 0.500 0.656 0.415  1.22
V 0.500 0.844 0.915  1.22
V 0.000 0.046 0.184  1.55
Co 0.000 0.000 0.000  1.04
Co 0.000 0.500 0.500  1.04
O 0.000 0.980 0.900  0.02
O 0.000 0.020 0.100  0.02
O 0.500 0.075 0.448  -0.01
O 0.500 0.016 0.658  0.00
O 0.500 0.189 0.167  -0.01
O 0.000 0.144 0.258  -0.01
O 0.500 0.142 0.006  -0.05
O 0.500 0.092 0.796  -0.03
O 0.000 0.214 0.364  0.00
O 0.000 0.191 0.579  -0.01
O 0.000 0.309 0.079  -0.01
O 0.000 0.286 0.864  0.00
O 0.500 0.408 0.296  -0.03
O 0.500 0.358 0.506  -0.05
O 0.000 0.356 0.758  -0.01
O 0.500 0.311 0.667  -0.01
O 0.500 0.484 0.158  0.00
O 0.500 0.425 0.948  -0.01
O 0.000 0.480 0.600  0.02
O 0.000 0.520 0.400  0.02
O 0.500 0.575 0.052  -0.01
O 0.500 0.516 0.842  0.00
O 0.500 0.689 0.333  -0.01
O 0.000 0.644 0.242  -0.01
O 0.500 0.642 0.494  -0.05
O 0.500 0.592 0.704  -0.03
O 0.000 0.714 0.136  0.00
O 0.000 0.691 0.921  -0.01
O 0.000 0.809 0.421  -0.01
O 0.000 0.786 0.636  0.00
O 0.500 0.908 0.204  -0.03
O 0.500 0.858 0.994  -0.05
O 0.000 0.856 0.742  -0.01
O 0.500 0.811 0.833  -0.01
O 0.500 0.984 0.342  0.00
O 0.500 0.925 0.552  -0.01

Properties
raw total energy: -713.9 eV per cell
space-group type: Pbam, No. 55
formation energy from raw total energies: -2.704 eV/atom
calculated volume: 616.3 Å³ per cell